No. 1
Density functional theory data (GGA-PBE) for a relaxed structure of CePaC2.

Structure (POSCAR):
```
CePaC2
1.0
-1.226 -1.285 3.175
2.333 -0.696 2.704
-0.287 4.906 3.958
C Ce Pa
2 1 1
Cartesian
0.221 0.597 2.411 C
0.599 2.327 7.426 C
0.410 1.462 4.918 Ce
0.000 0.000 0.000 Pa
```

The value obtained for the total energy is -8.763 eV per atom. The distance to the lowest polymorph of the same formula comes out at 0 meV/atom. The space-group type is R-3m (166).



No. 2
Density functional theory data (GGA-PBE) for a relaxed structure of PrSmGePd.

Structure (POSCAR):
```
PrSmGePd
1.0
4.116 0.000 0.000
0.000 4.367 0.000
-2.058 0.000 5.594
Pd Pr Sm Ge
1 1 1 1
Cartesian
0.000 0.000 4.704 Pd
0.000 0.000 1.558 Pr
2.058 2.184 4.061 Sm
2.058 2.184 0.865 Ge
```

The value obtained for the total energy is -5.644 eV per atom. The distance to the lowest polymorph of the same formula comes out at 0 meV/atom. The space-group type is Amm2 (38).



No. 3
Density functional theory data (GGA-PBE) for a relaxed structure of Na2FeAs.

Structure (POSCAR):
```
Na2FeAs
1.0
11.326 0.000 0.000
0.000 11.326 0.000
5.663 5.663 2.305
As Na Fe
2 4 2
Cartesian
0.000 0.000 0.000 As
11.326 5.663 1.153 As
11.329 8.494 0.576 Na
8.494 5.666 1.729 Na
11.322 2.831 0.576 Na
14.157 5.660 1.729 Na
5.663 11.326 1.153 Fe
5.663 5.663 0.000 Fe
```

The value obtained for the total energy is -3.762 eV per atom. The space-group type is I4_1/amd (141).



No. 4
Density functional theory data (GGA-PBE) for a relaxed structure of KCdW2.

Structure (POSCAR):
```
KCdW2
1.0
6.291 0.004 0.006
-3.665 5.113 0.006
0.476 0.927 2.524
W K Cd
2 1 1
Cartesian
1.313 2.559 0.006 W
0.000 0.000 0.000 W
-1.595 3.020 1.265 K
3.383 0.465 1.265 Cd
```

The value obtained for the total energy is -5.641 eV per atom. The space-group type is C2/m (12).



No. 5
Density functional theory data (GGA-PBE) for a relaxed structure of HfZr2Rh.

Structure (POSCAR):
```
HfZr2Rh
1.0
-2.653 0.804 1.777
-0.304 -4.619 1.636
2.892 1.154 3.796
Rh Zr Hf
1 2 1
Cartesian
-1.326 0.402 0.888 Rh
1.446 0.577 1.898 Zr
-0.152 -2.310 0.818 Zr
-0.032 -1.330 3.605 Hf
```

The value obtained for the total energy is -8.864 eV per atom. The distance to the lowest polymorph of the same formula comes out at 165 meV/atom. The space-group type is P4/mmm (123).



No. 6
Density functional theory data (GGA-PBE) for a relaxed structure of Sr3BiRu.

Structure (POSCAR):
```
Sr3BiRu
1.0
-3.895 -4.633 1.575
4.560 -4.167 -0.979
1.775 0.539 5.973
Bi Sr Ru
1 3 1
Cartesian
0.000 0.000 0.000 Bi
-1.948 -2.317 0.787 Sr
0.887 0.269 2.987 Sr
2.280 -2.083 -0.490 Sr
1.220 -4.131 3.285 Ru
```

The value obtained for the total energy is -3.012 eV per atom. The space-group type is Pm-3m (221).



No. 7
Density functional theory data (GGA-PBE) for a relaxed structure of KSb2.

Structure (POSCAR):
```
KSb2
1.0
2.254 6.618 0.174
-2.254 6.618 0.174
0.000 0.814 7.800
K Sb
2 4
Cartesian
0.000 8.698 4.861 K
0.000 12.734 0.988 K
0.000 4.853 6.282 Sb
0.000 2.851 2.086 Sb
0.000 5.322 3.517 Sb
0.000 9.222 0.266 Sb
```

The formation energy (no corrections) is -202 meV/atom. The value obtained for the total energy is -3.316 eV per atom. The space-group type is Cm (8).



No. 8
Density functional theory data (GGA-PBE) for a relaxed structure of AlPtRh2.

Structure (POSCAR):
```
AlPtRh2
1.0
4.695 -0.010 0.000
1.463 4.461 0.000
-3.079 -2.225 2.758
Rh Al Pt
2 1 1
Cartesian
0.732 2.230 1.379 Rh
0.000 0.000 0.000 Rh
3.079 2.225 0.000 Al
2.347 -0.005 1.379 Pt
```

The value obtained for the total energy is -6.648 eV per atom. The space-group type is I-4m2 (119).



No. 9
Density functional theory data (GGA-PBE) for a relaxed structure of KNiBr2.

Structure (POSCAR):
```
KNiBr2
1.0
5.745 -0.544 0.000
-4.144 4.016 0.000
0.000 0.000 8.193
Br Ni K
2 1 1
Cartesian
0.000 0.000 7.770 Br
0.000 0.000 4.519 Br
0.800 1.736 6.145 Ni
0.800 1.736 2.048 K
```

The formation energy (no corrections) is -596 meV/atom. The value obtained for the total energy is -3.152 eV per atom. The distance to the lowest polymorph of the same formula comes out at 173 meV/atom. The space-group type is Cmmm (65).



No. 10
Density functional theory data (GGA-PBE) for a relaxed structure of Pm12Co5Sb.

Structure (POSCAR):
```
Pm12Co5Sb
1.0
-6.397 1.780 -5.357
5.451 -5.450 -3.657
-2.941 -3.683 7.111
Pm Co Sb
12 5 1
Cartesian
0.320 -2.523 -1.035 Pm
-4.207 -4.829 -0.867 Pm
-5.715 0.661 -2.944 Pm
-1.149 -6.856 2.912 Pm
-2.738 -0.497 -4.814 Pm
-2.952 -1.248 -1.155 Pm
-0.935 -6.104 -0.748 Pm
-1.802 -3.905 -3.524 Pm
-2.085 -3.447 1.622 Pm
1.828 -8.013 1.042 Pm
-6.738 -2.019 -0.444 Pm
2.851 -5.333 -1.459 Pm
-0.360 -1.397 -3.431 Co
0.000 0.000 0.000 Co
-0.586 -2.273 -5.583 Co
-4.390 -1.967 1.261 Co
0.503 -5.385 -3.164 Co
1.255 -4.566 1.727 Sb
```

The formation energy (no corrections) is -215 meV/atom. The value obtained for the total energy is -5.585 eV per atom. The space-group type is Immm (71).